Record 1
! CeScPaPb | the Alexandria database | GGA-PBE | relaxed; values from VASP
&SYSTEM
  ibrav = 0, nat = 4, ntyp = 4
/
ATOMIC_SPECIES
Sc 44.96 Sc.upf
Pa 231.04 Pa.upf
Ce 140.12 Ce.upf
Pb 207.20 Pb.upf
CELL_PARAMETERS angstrom
5.2713 0.0000 0.0000
2.6356 4.5650 0.0000
2.6356 1.5217 4.3040
ATOMIC_POSITIONS crystal
Sc 0.0000 0.0000 0.0000
Pa 0.2500 0.2500 0.2500
Ce 0.5000 0.5000 0.5000
Pb 0.7500 0.7500 0.7500
! * ΔE_f: 0.099 eV per atom

***

Record 2
! CeSmPaPb | the Alexandria database | GGA-PBE | relaxed; values from VASP
&SYSTEM
  ibrav = 0, nat = 4, ntyp = 4
/
ATOMIC_SPECIES
Pb 207.20 Pb.upf
Pa 231.04 Pa.upf
Ce 140.12 Ce.upf
Sm 150.36 Sm.upf
CELL_PARAMETERS angstrom
-2.4881 -1.9079 4.4430
-0.4562 -5.3639 0.7690
2.8961 -2.4436 3.9003
ATOMIC_POSITIONS crystal
Pb 0.0000 0.0000 0.0000
Pa 0.5000 0.5000 0.5000
Ce 0.2500 0.2500 0.2500
Sm 0.7500 0.7500 0.7500
! * ΔE_f: 0.117 eV per atom

***

no.,DFT total energy (eV/atom),Fermi-level density of states (states/eV/atom)
1,-6.269,2.290
2,-5.848,2.541